Record 1
This record from OQMD via LeMat-Bulk describes a geometry-optimized La2Pt2Au structure. The functional is GGA-PBE.

Cell: 7.870 7.870 3.873 Å, 90.00 90.00 90.00°
Positions (direct):
1 La 0.173 0.327 0.000
2 La 0.327 0.827 0.000
3 La 0.673 0.173 0.000
4 La 0.827 0.673 0.000
5 Pt 0.130 0.630 0.500
6 Pt 0.370 0.130 0.500
7 Pt 0.630 0.870 0.500
8 Pt 0.870 0.370 0.500
9 Au 0.000 0.000 0.500
10 Au 0.500 0.500 0.500

Output
Space group: P4/mbm (127)
Calculated density (g cm⁻³): 12.0
Energy relative to the elements (meV/atom): -1068
Total magnetization (μB/f.u.): 0.014

---

Record 2
This record from OQMD via LeMat-Bulk describes a geometry-optimized LaZn2PtAu structure. The functional is GGA-PBE.

Cell: 5.760 5.760 5.760 Å, 132.43 132.43 69.54°
Positions (direct):
1 La 0.000 0.000 0.000
2 Zn 0.371 0.371 0.000
3 Zn 0.629 0.629 0.000
4 Pt 0.250 0.750 0.500
5 Au 0.750 0.250 0.500

Output
Space group: I-4m2 (119)
Calculated density (g cm⁻³): 10.8
Energy relative to the elements (meV/atom): -622
Total magnetization (μB/f.u.): 0.003

---

Record 3
This record from OQMD via LeMat-Bulk describes a geometry-optimized LaPuAu structure. The functional is GGA-PBE.

Cell: 4.935 4.935 4.935 Å, 60.00 60.00 60.00°
Positions (direct):
1 La 0.000 0.000 0.000
2 Pu 0.250 0.250 0.250
3 Au 0.750 0.750 0.750

Output
Energy above the most stable polymorph in this dataset (eV per atom): 0.134
Space group: F-43m (216)
Calculated density (g cm⁻³): 11.3
Energy relative to the elements (meV/atom): 35
Total magnetization (μB/f.u.): 6.040

---

Record 4
This record from OQMD via LeMat-Bulk describes a geometry-optimized LaPuAu structure. The functional is GGA-PBE.

Cell: 4.909 4.909 4.909 Å, 60.00 60.00 60.00°
Positions (direct):
1 La 0.000 0.000 0.000
2 Pu 0.250 0.250 0.250
3 Au 0.500 0.500 0.500

Output
Energy above the most stable polymorph in this dataset (eV per atom): 0.000
Space group: F-43m (216)
Calculated density (g cm⁻³): 11.5
Energy relative to the elements (meV/atom): -100
Total magnetization (μB/f.u.): 6.011